No. 1
Below is crystalline SrEu3 at its relaxed geometry, with properties calculated at the PBE level.

Cell and atoms, written as extended XYZ:
```
16
Lattice="9.0201 0.0000 0.0000 0.0000 9.0201 0.0000 0.0000 0.0000 9.0201" Properties=species:S:1:pos:R:3 pbc="T T T"
Sr 0.0000 0.0000 0.0000
Sr 0.0000 4.5101 4.5101
Sr 4.5101 0.0000 4.5101
Sr 4.5101 4.5101 0.0000
Eu 0.0000 0.0000 4.5101
Eu 0.0000 4.5101 0.0000
Eu 2.2550 2.2550 2.2550
Eu 2.2550 2.2550 6.7651
Eu 2.2550 6.7651 2.2550
Eu 2.2550 6.7651 6.7651
Eu 4.5101 0.0000 0.0000
Eu 4.5101 4.5101 4.5101
Eu 6.7651 2.2550 2.2550
Eu 6.7651 2.2550 6.7651
Eu 6.7651 6.7651 2.2550
Eu 6.7651 6.7651 6.7651
```

Values from the calculation:
Fermi-level density of states	18.99	states/eV/f.u.
raw total energy	-8.09	eV per atom
formation energy from the elements	0.148	eV/f.u.
crystal system	cubic

***

No. 2
Below is crystalline SrEu2 at its relaxed geometry, with properties calculated at the PBE level.

Cell and atoms, written as extended XYZ:
```
6
Lattice="4.0696 0.0000 0.0000 0.0000 4.0696 0.0000 0.0000 0.0000 16.8757" Properties=species:S:1:pos:R:3 pbc="T T T"
Sr 0.0000 0.0000 0.0000
Sr 2.0348 2.0348 8.4378
Eu 0.0000 0.0000 5.5052
Eu 0.0000 0.0000 11.3705
Eu 2.0348 2.0348 2.9327
Eu 2.0348 2.0348 13.9430
```

Values from the calculation:
Fermi-level density of states	3.27	states/eV/f.u.
raw total energy	-7.38	eV per atom
formation energy from the elements	0.091	eV/f.u.
crystal system	tetragonal
energy above the lowest structure with this stoichiometry	0.0000	eV per atom

***

No. 3
Below is crystalline SrEu3 at its relaxed geometry, with properties calculated at the PBE level.

Cell and atoms, written as extended XYZ:
```
4
Lattice="5.6718 0.0000 0.0000 0.0000 5.6718 0.0000 0.0000 0.0000 5.6718" Properties=species:S:1:pos:R:3 pbc="T T T"
Sr 0.0000 0.0000 0.0000
Eu 0.0000 2.8359 2.8359
Eu 2.8359 0.0000 2.8359
Eu 2.8359 2.8359 0.0000
```

Values from the calculation:
Fermi-level density of states	18.41	states/eV/f.u.
raw total energy	-8.09	eV per atom
formation energy from the elements	0.134	eV/f.u.
crystal system	cubic

***

No. 4
Below is crystalline Sr2Eu at its relaxed geometry, with properties calculated at the PBE level.

Cell and atoms, written as extended XYZ:
```
6
Lattice="0.0000 5.4761 5.4761 5.4761 0.0000 5.4761 5.4761 5.4761 0.0000" Properties=species:S:1:pos:R:3 pbc="T T T"
Sr 0.0000 0.0000 0.0000
Sr 2.7381 2.7381 0.0000
Sr 2.7381 0.0000 2.7381
Sr 0.0000 2.7381 2.7381
Eu 4.1071 4.1071 4.1071
Eu 6.8451 6.8451 6.8451
```

Values from the calculation:
Fermi-level density of states	13.95	states/eV/f.u.
raw total energy	-4.40	eV per atom
formation energy from the elements	0.443	eV/f.u.
crystal system	cubic

***

No. 5
Below is crystalline Sr2TbEu at its relaxed geometry, with properties calculated at the PBE level.

Cell and atoms, written as extended XYZ:
```
4
Lattice="4.2915 0.0000 0.0000 0.0000 4.2915 0.0000 0.0000 0.0000 9.5888" Properties=species:S:1:pos:R:3 pbc="T T T"
Sr 0.0000 0.0000 2.2177
Sr 0.0000 0.0000 7.3711
Tb 2.1457 2.1457 0.0000
Eu 2.1457 2.1457 4.7944
```

Values from the calculation:
Fermi-level density of states	4.01	states/eV/f.u.
raw total energy	-4.40	eV per atom
formation energy from the elements	0.663	eV/f.u.
crystal system	tetragonal
energy above the lowest structure with this stoichiometry	0.0000	eV per atom

***

No. 6
Below is crystalline SrTbEu at its relaxed geometry, with properties calculated at the PBE level.

Cell and atoms, written as extended XYZ:
```
6
Lattice="3.8596 0.0000 0.0000 0.0000 3.8596 0.0000 0.0000 0.0000 16.6179" Properties=species:S:1:pos:R:3 pbc="T T T"
Sr 0.0000 0.0000 0.0000
Sr 1.9298 1.9298 8.3089
Tb 0.0000 0.0000 5.5205
Tb 1.9298 1.9298 13.8294
Eu 0.0000 0.0000 11.3928
Eu 1.9298 1.9298 3.0839
```

Values from the calculation:
Fermi-level density of states	3.99	states/eV/f.u.
raw total energy	-5.39	eV per atom
formation energy from the elements	0.405	eV/f.u.
crystal system	tetragonal
energy above the lowest structure with this stoichiometry	0.0000	eV per atom

***

No. 7
Below is crystalline SrTbEu at its relaxed geometry, with properties calculated at the PBE level.

Cell and atoms, written as extended XYZ:
```
3
Lattice="3.8553 0.0000 0.0000 -1.9276 3.3388 0.0000 0.0000 0.0000 9.5256" Properties=species:S:1:pos:R:3 pbc="T T T"
Sr 0.0000 0.0000 0.0000
Tb 1.9276 1.1129 3.1800
Eu 0.0000 2.2259 6.0887
```

Values from the calculation:
Fermi-level density of states	3.75	states/eV/f.u.
raw total energy	-5.39	eV per atom
formation energy from the elements	0.411	eV/f.u.
crystal system	trigonal
energy above the lowest structure with this stoichiometry	0.0021	eV per atom

***

No. 8
Below is crystalline Sr2TbEu at its relaxed geometry, with properties calculated at the PBE level.

Cell and atoms, written as extended XYZ:
```
12
Lattice="3.8380 0.0000 0.0000 -1.9190 3.3238 0.0000 0.0000 0.0000 41.7600" Properties=species:S:1:pos:R:3 pbc="T T T"
Sr 0.0000 0.0000 3.5559
Sr 0.0000 0.0000 38.2041
Sr 0.0000 2.2159 24.2841
Sr 0.0000 2.2159 31.3959
Sr 1.9190 1.1079 10.3641
Sr 1.9190 1.1079 17.4759
Tb 0.0000 0.0000 0.0000
Tb 0.0000 2.2159 27.8400
Tb 1.9190 1.1079 13.9200
Eu 0.0000 0.0000 20.8800
Eu 0.0000 2.2159 6.9600
Eu 1.9190 1.1079 34.8000
```

Values from the calculation:
Fermi-level density of states	5.70	states/eV/f.u.
raw total energy	-4.26	eV per atom
formation energy from the elements	1.244	eV/f.u.
crystal system	trigonal
energy above the lowest structure with this stoichiometry	0.1453	eV per atom

***

No. 9
Below is crystalline Sr2TbEu at its relaxed geometry, with properties calculated at the PBE level.

Cell and atoms, written as extended XYZ:
```
16
Lattice="8.8626 0.0000 0.0000 0.0000 8.8626 0.0000 0.0000 0.0000 8.8626" Properties=species:S:1:pos:R:3 pbc="T T T"
Sr 2.2157 2.2157 2.2157
Sr 2.2157 2.2157 6.6470
Sr 2.2157 6.6470 2.2157
Sr 2.2157 6.6470 6.6470
Sr 6.6470 2.2157 2.2157
Sr 6.6470 2.2157 6.6470
Sr 6.6470 6.6470 2.2157
Sr 6.6470 6.6470 6.6470
Tb 0.0000 0.0000 0.0000
Tb 0.0000 4.4313 4.4313
Tb 4.4313 0.0000 4.4313
Tb 4.4313 4.4313 0.0000
Eu 0.0000 0.0000 4.4313
Eu 0.0000 4.4313 0.0000
Eu 4.4313 0.0000 0.0000
Eu 4.4313 4.4313 4.4313
```

Values from the calculation:
Fermi-level density of states	4.03	states/eV/f.u.
raw total energy	-4.38	eV per atom
formation energy from the elements	0.758	eV/f.u.
crystal system	cubic
energy above the lowest structure with this stoichiometry	0.0238	eV per atom

***

No. 10
Below is crystalline Sr2TbEu at its relaxed geometry, with properties calculated at the PBE level.

Cell and atoms, written as extended XYZ:
```
4
Lattice="6.2941 0.0000 0.0000 0.0000 6.2941 0.0000 0.0000 0.0000 4.3893" Properties=species:S:1:pos:R:3 pbc="T T T"
Sr 0.0000 3.1470 0.0000
Sr 3.1470 0.0000 0.0000
Tb 0.0000 0.0000 2.1946
Eu 3.1470 3.1470 2.1946
```

Values from the calculation:
Fermi-level density of states	4.06	states/eV/f.u.
raw total energy	-4.38	eV per atom
formation energy from the elements	0.752	eV/f.u.
crystal system	tetragonal
energy above the lowest structure with this stoichiometry	0.0224	eV per atom

***

No. 11
Below is crystalline SrTb4Eu at its relaxed geometry, with properties calculated at the PBE level.

Cell and atoms, written as extended XYZ:
```
6
Lattice="0.0000 4.8625 4.8625 4.8625 0.0000 4.8625 4.8625 4.8625 0.0000" Properties=species:S:1:pos:R:3 pbc="T T T"
Sr 0.0000 0.0000 0.0000
Tb 3.6538 3.6538 3.6538
Tb 6.0712 6.0712 3.6538
Tb 6.0712 3.6538 6.0712
Tb 3.6538 6.0712 6.0712
Eu 7.2938 7.2938 7.2938
```

Values from the calculation:
Fermi-level density of states	14.60	states/eV/f.u.
raw total energy	-4.86	eV per atom
formation energy from the elements	1.315	eV/f.u.
crystal system	cubic

***

No. 12
Below is crystalline SrTbEuTl at its relaxed geometry, with properties calculated at the PBE level.

Cell and atoms, written as extended XYZ:
```
16
Lattice="8.1669 0.0000 0.0000 0.0000 8.1669 0.0000 0.0000 0.0000 8.1669" Properties=species:S:1:pos:R:3 pbc="T T T"
Sr 0.0000 0.0000 0.0000
Sr 0.0000 4.0834 4.0834
Sr 4.0834 0.0000 4.0834
Sr 4.0834 4.0834 0.0000
Tb 0.0000 0.0000 4.0834
Tb 0.0000 4.0834 0.0000
Tb 4.0834 0.0000 0.0000
Tb 4.0834 4.0834 4.0834
Eu 2.0417 2.0417 2.0417
Eu 2.0417 6.1252 6.1252
Eu 6.1252 2.0417 6.1252
Eu 6.1252 6.1252 2.0417
Tl 2.0417 2.0417 6.1252
Tl 2.0417 6.1252 2.0417
Tl 6.1252 2.0417 2.0417
Tl 6.1252 6.1252 6.1252
```

Values from the calculation:
Fermi-level density of states	3.07	states/eV/f.u.
raw total energy	-4.76	eV per atom
formation energy from the elements	-0.070	eV/f.u.
crystal system	cubic

***

No. 13
Below is crystalline SrEu2Te at its relaxed geometry, with properties calculated at the PBE level.

Cell and atoms, written as extended XYZ:
```
4
Lattice="4.0404 0.0000 0.0000 0.0000 4.0404 0.0000 0.0000 0.0000 10.1691" Properties=species:S:1:pos:R:3 pbc="T T T"
Sr 0.0000 0.0000 0.0000
Eu 2.0202 2.0202 3.2321
Eu 2.0202 2.0202 6.9370
Te 0.0000 0.0000 5.0845
```

Values from the calculation:
Fermi-level density of states	3.00	states/eV/f.u.
raw total energy	-7.04	eV per atom
crystal system	tetragonal
formation energy without anion corrections	-67.0	kJ/mol of atoms

***

No. 14
Below is crystalline Sr2EuTe at its relaxed geometry, with properties calculated at the PBE level.

Cell and atoms, written as extended XYZ:
```
4
Lattice="4.0875 0.0000 0.0000 0.0000 4.0875 0.0000 0.0000 0.0000 10.2677" Properties=species:S:1:pos:R:3 pbc="T T T"
Sr 0.0000 0.0000 1.9444
Sr 0.0000 0.0000 8.3234
Eu 2.0437 2.0437 5.1339
Te 2.0437 2.0437 0.0000
```

Values from the calculation:
Fermi-level density of states	13.13	states/eV/f.u.
raw total energy	-4.90	eV per atom
crystal system	tetragonal
energy above the lowest structure with this stoichiometry	0.0000	eV per atom
formation energy without anion corrections	-68.3	kJ/mol of atoms

***

No. 15
Below is crystalline Sr2EuTe at its relaxed geometry, with properties calculated at the PBE level.

Cell and atoms, written as extended XYZ:
```
12
Lattice="4.3500 0.0000 0.0000 -2.1750 3.7672 0.0000 0.0000 0.0000 35.5370" Properties=species:S:1:pos:R:3 pbc="T T T"
Sr 0.0000 0.0000 3.8198
Sr 0.0000 0.0000 31.7172
Sr 0.0000 2.5115 19.8715
Sr 0.0000 2.5115 27.5112
Sr 2.1750 1.2557 8.0258
Sr 2.1750 1.2557 15.6655
Eu 0.0000 0.0000 0.0000
Eu 0.0000 2.5115 23.6914
Eu 2.1750 1.2557 11.8457
Te 0.0000 0.0000 17.7685
Te 0.0000 2.5115 5.9228
Te 2.1750 1.2557 29.6142
```

Values from the calculation:
Fermi-level density of states	3.05	states/eV/f.u.
raw total energy	-4.79	eV per atom
crystal system	trigonal
energy above the lowest structure with this stoichiometry	0.1109	eV per atom
formation energy without anion corrections	-57.6	kJ/mol of atoms